(1)
{"formula": "BaCoTeN2", "functional": "PBE", "state": "optimized geometry", "polymorph_energy_mev_per_atom": 0, "dft_energy_ev_per_atom": -4.960, "vol_a3_per_atom": 19.714, "density_kg_m3": 5928, "formation_energy_uncorrected_ev_per_atom": 0.80, "magmom_total_mub_per_atom": 0.81, "lattice_angstrom": [[-1.1069, 1.9552, -3.7659], [2.4245, -2.9027, -2.2196], [-4.0704, -3.0886, -0.4071]], "species": ["Te", "Co", "Ba", "N", "N"], "frac_coords": [[0.0000, 0.0000, 0.5000], [0.0000, 0.0000, 0.0000], [0.5000, 0.5000, 0.5000], [0.0000, 0.5000, 0.0000], [0.5000, 0.0000, 0.0000]]}

=====

(2)
{"formula": "EuHgSb2", "functional": "PBE", "state": "optimized geometry", "polymorph_energy_mev_per_atom": 215, "dft_energy_ev_per_atom": -4.971, "vol_a3_per_atom": 29.633, "density_kg_m3": 8351, "formation_energy_uncorrected_ev_per_atom": -0.27, "magmom_total_mub_per_atom": 1.77, "lattice_angstrom": [[5.1793, 0.0000, 0.0000], [2.5897, 4.4854, 0.0000], [2.5897, 1.4951, 5.1021]], "species": ["Eu", "Sb", "Sb", "Hg"], "frac_coords": [[0.5000, 0.5000, 0.5000], [0.2803, 0.2803, 0.1592], [0.7197, 0.7197, 0.8408], [0.0000, 0.0000, 0.0000]]}

=====

(3)
{"formula": "ScTl2Bi2", "functional": "PBE", "state": "optimized geometry", "polymorph_energy_mev_per_atom": 0, "delta_e_f_ev_per_atom": -0.065, "dft_energy_ev_per_atom": -3.830, "vol_a3_per_atom": 32.256, "density_kg_m3": 8975, "magmom_total_mub_per_atom": 0.00, "lattice_angstrom": [[7.7661, 0.0000, 0.0000], [0.0000, 7.7661, 0.0000], [0.0000, 0.0000, 5.3480]], "species": ["Sc", "Sc", "Tl", "Tl", "Tl", "Tl", "Bi", "Bi", "Bi", "Bi"], "frac_coords": [[0.0000, 0.0000, 0.0000], [0.5000, 0.5000, 0.0000], [0.1797, 0.6797, 0.5000], [0.6797, 0.8203, 0.5000], [0.8203, 0.3203, 0.5000], [0.3203, 0.1797, 0.5000], [0.3587, 0.8587, 0.0000], [0.8587, 0.6413, 0.0000], [0.6413, 0.1413, 0.0000], [0.1413, 0.3587, 0.0000]]}

=====

(4)
{"formula": "Zn3C", "functional": "PBE", "state": "optimized geometry", "delta_e_f_ev_per_atom": 0.939, "dft_energy_ev_per_atom": -2.322, "vol_a3_per_atom": 12.908, "density_kg_m3": 6697, "magmom_total_mub_per_atom": 0.00, "lattice_angstrom": [[-0.5284, 2.0324, -1.5778], [-2.7080, -0.9774, -0.3521], [-2.0085, 3.6355, 5.3554]], "species": ["Zn", "Zn", "Zn", "C"], "frac_coords": [[0.5000, 0.5000, 0.8039], [0.0000, 0.0000, 0.5000], [0.5000, 0.5000, 0.1961], [0.0000, 0.0000, 0.0000]]}

=====

(5)
{"formula": "Zr2SiSe2", "functional": "PBE", "state": "optimized geometry", "polymorph_energy_mev_per_atom": 48, "dft_energy_ev_per_atom": -6.417, "vol_a3_per_atom": 21.531, "density_kg_m3": 5683, "formation_energy_uncorrected_ev_per_atom": -0.52, "magmom_total_mub_per_atom": 0.00, "lattice_angstrom": [[5.0834, 0.0000, 0.0000], [0.0000, 5.0834, 0.0000], [2.5417, 2.5417, 4.1661]], "species": ["Si", "Se", "Se", "Zr", "Zr"], "frac_coords": [[0.0000, 0.0000, 0.0000], [0.3409, 0.3409, 0.3181], [0.6591, 0.6591, 0.6819], [0.7500, 0.2500, 0.5000], [0.2500, 0.7500, 0.5000]]}

=====

(6)
{"formula": "ScMoSe2Br", "functional": "PBE", "state": "optimized geometry", "polymorph_energy_mev_per_atom": 19, "dft_energy_ev_per_atom": -5.149, "vol_a3_per_atom": 27.492, "density_kg_m3": 4575, "formation_energy_uncorrected_ev_per_atom": 0.01, "magmom_total_mub_per_atom": 0.81, "lattice_angstrom": [[-2.9891, 2.1956, 3.6485], [-0.6125, -4.6330, 2.2863], [4.1134, 0.8629, 2.8507]], "species": ["Sc", "Mo", "Se", "Se", "Br"], "frac_coords": [[0.0000, 0.0000, 0.0000], [0.5000, 0.5000, 0.5000], [0.0000, 0.5000, 0.0000], [0.5000, 0.0000, 0.0000], [0.0000, 0.0000, 0.5000]]}

=====

(7)
{"formula": "Ti2GaHg", "functional": "PBE", "state": "optimized geometry", "delta_e_f_ev_per_atom": -0.049, "dft_energy_ev_per_atom": -4.829, "vol_a3_per_atom": 18.125, "density_kg_m3": 8384, "magmom_total_mub_per_atom": 0.24, "lattice_angstrom": [[-0.8778, -0.8277, 2.7643], [-1.9101, -2.3082, 0.3478], [6.1875, -6.8561, 1.5575]], "species": ["Ti", "Ti", "Ga", "Hg"], "frac_coords": [[0.0786, 0.0786, 0.7641], [0.2547, 0.2547, 0.2358], [0.6668, 0.6668, 0.9997], [0.4999, 0.4999, 0.5004]]}

=====

(8)
{"formula": "KP2Cl8", "functional": "PBE", "state": "optimized geometry", "dft_energy_ev_per_atom": -3.163, "vol_a3_per_atom": 39.402, "density_kg_m3": 1474, "formation_energy_uncorrected_ev_per_atom": -0.74, "magmom_total_mub_per_atom": 0.10, "lattice_angstrom": [[7.9858, 0.4690, 0.3559], [0.9650, 7.3192, -1.2729], [0.9650, 0.7449, 7.3916]], "species": ["K", "P", "P", "Cl", "Cl", "Cl", "Cl", "Cl", "Cl", "Cl", "Cl"], "frac_coords": [[0.0000, 0.0000, 0.0000], [0.6571, 0.7559, 0.7559], [0.3429, 0.2441, 0.2441], [0.1932, 0.3600, 0.0552], [0.8068, 0.9448, 0.6400], [0.3299, 0.7749, 0.7749], [0.6701, 0.2251, 0.2251], [0.1932, 0.0552, 0.3600], [0.8068, 0.6400, 0.9448], [0.7211, 0.5516, 0.5516], [0.2789, 0.4484, 0.4484]]}

=====

Question: Which formula does entry 8 have?
Answer: KP2Cl8